Zn3Ni, optimized geometry, DFT PBE-GGA; symmetry = No. 187; total magnetic moment = 0.00 μB per cell; formation energy = -0.086 eV/atom
1.0
2.711 0.000 0.000
-1.356 2.348 0.000
0.000 0.000 8.528
Zn Ni
3 1
Direct
0.000 0.000 0.000
0.333 0.667 0.270
0.333 0.667 0.730
0.000 0.000 0.500

=====

Zn3Ni2, optimized geometry, DFT PBE-GGA; symmetry = No. 123; total magnetic moment = 0.00 μB per cell; formation energy = -0.189 eV/atom
1.0
2.924 0.000 0.000
0.000 2.924 0.000
0.000 0.000 14.772
Zn Ni
6 4
Direct
0.000 0.000 0.000
0.000 0.000 0.192
0.000 0.000 0.385
0.000 0.000 0.615
0.000 0.000 0.808
0.500 0.500 0.500
0.500 0.500 0.096
0.500 0.500 0.288
0.500 0.500 0.712
0.500 0.500 0.904

=====

Zn5Ni3, optimized geometry, DFT PBE-GGA; symmetry = No. 2; energy above the lowest structure with this stoichiometry = 21 meV per atom; total magnetic moment = 0.00 μB per cell; formation energy = -0.173 eV/atom
1.0
5.019 0.000 0.000
2.201 6.372 0.000
2.258 -0.118 6.367
Zn Ni
10 6
Direct
0.013 0.091 0.175
0.222 0.714 0.308
0.251 0.533 0.965
0.277 0.192 0.787
0.486 0.326 0.410
0.514 0.674 0.590
0.723 0.808 0.213
0.749 0.467 0.035
0.778 0.286 0.692
0.987 0.909 0.825
0.013 0.577 0.668
0.250 0.040 0.460
0.486 0.833 0.923
0.514 0.167 0.077
0.750 0.960 0.540
0.987 0.423 0.332

=====

ZnNi, optimized geometry, DFT PBE-GGA; symmetry = No. 194; total magnetic moment = 0.00 μB per cell; formation energy = 0.046 eV/atom
1.0
4.101 0.000 0.000
-2.051 3.552 0.000
0.000 0.000 7.211
Zn Ni
4 4
Direct
0.000 0.000 0.250
0.000 0.000 0.750
0.333 0.667 0.250
0.667 0.333 0.750
0.333 0.667 0.583
0.333 0.667 0.917
0.667 0.333 0.083
0.667 0.333 0.417

=====

ZnNi, optimized geometry, DFT PBE-GGA; symmetry = No. 19; total magnetic moment = 0.00 μB per cell; formation energy = -0.117 eV/atom
1.0
4.283 0.000 0.000
0.000 6.708 0.000
0.000 0.000 7.044
Zn Ni
8 8
Direct
0.149 0.236 0.226
0.152 0.444 0.903
0.348 0.556 0.403
0.351 0.764 0.726
0.649 0.264 0.774
0.652 0.056 0.097
0.848 0.944 0.597
0.851 0.736 0.274
0.147 0.069 0.901
0.161 0.251 0.586
0.339 0.749 0.086
0.353 0.931 0.401
0.647 0.431 0.099
0.661 0.249 0.414
0.839 0.751 0.914
0.853 0.569 0.599

=====

ZnNi, optimized geometry, DFT PBE-GGA; symmetry = No. 59; total magnetic moment = 0.00 μB per cell; formation energy = -0.133 eV/atom
1.0
2.660 0.000 0.000
0.000 4.253 0.000
0.000 0.000 4.330
Zn Ni
2 2
Direct
0.250 0.250 0.096
0.750 0.750 0.904
0.250 0.750 0.415
0.750 0.250 0.585

=====

ZnNi, optimized geometry, DFT PBE-GGA; symmetry = No. 227; total magnetic moment = 0.00 μB per cell; formation energy = -0.122 eV/atom
1.0
0.000 2.903 2.903
2.903 0.000 2.903
2.903 2.903 0.000
Zn Ni
2 2
Direct
0.125 0.125 0.125
0.875 0.875 0.875
0.375 0.375 0.375
0.625 0.625 0.625

=====

ZnNi, optimized geometry, DFT PBE-GGA; symmetry = No. 223; total magnetic moment = 0.00 μB per cell; formation energy = 0.849 eV/atom
1.0
6.576 0.000 0.000
0.000 6.576 0.000
0.000 0.000 6.576
Zn Ni
6 6
Direct
0.000 0.250 0.500
0.000 0.750 0.500
0.250 0.500 0.000
0.500 0.000 0.250
0.500 0.000 0.750
0.750 0.500 0.000
0.000 0.500 0.250
0.000 0.500 0.750
0.250 0.000 0.500
0.500 0.250 0.000
0.500 0.750 0.000
0.750 0.000 0.500

=====

Zn2Ni, optimized geometry, DFT PBE-GGA; symmetry = No. 141; total magnetic moment = 0.00 μB per cell; formation energy = -0.128 eV/atom
1.0
-1.330 1.330 11.577
1.330 -1.330 11.577
1.330 1.330 -11.577
Zn Ni
4 2
Direct
0.301 0.551 0.750
0.449 0.699 0.750
0.551 0.301 0.250
0.699 0.449 0.250
0.125 0.875 0.250
0.875 0.125 0.750

=====

ZnNi, optimized geometry, DFT PBE-GGA; symmetry = No. 194; total magnetic moment = 0.00 μB per cell; formation energy = -0.002 eV/atom
1.0
4.052 0.000 0.000
-2.026 3.509 0.000
0.000 0.000 7.431
Zn Ni
4 4
Direct
0.333 0.667 0.083
0.333 0.667 0.417
0.667 0.333 0.583
0.667 0.333 0.917
0.000 0.000 0.250
0.000 0.000 0.750
0.333 0.667 0.750
0.667 0.333 0.250

=====

Zn3Ni, optimized geometry, DFT PBE-GGA; symmetry = No. 139; total magnetic moment = 0.00 μB per cell; formation energy = -0.159 eV/atom
1.0
-1.843 1.843 3.884
1.843 -1.843 3.884
1.843 1.843 -3.884
Zn Ni
3 1
Direct
0.000 0.000 0.000
0.250 0.750 0.500
0.750 0.250 0.500
0.500 0.500 0.000

=====

ZnNi, optimized geometry, DFT PBE-GGA; symmetry = No. 216; total magnetic moment = 0.00 μB per cell; formation energy = 0.836 eV/atom
1.0
0.000 2.681 2.681
2.681 0.000 2.681
2.681 2.681 0.000
Zn Ni
1 1
Direct
0.000 0.000 0.000
0.250 0.250 0.250

=====

Zn2Ni, optimized geometry, DFT PBE-GGA; symmetry = No. 225; total magnetic moment = 0.00 μB per cell; formation energy = 0.007 eV/atom
1.0
0.000 2.845 2.845
2.845 0.000 2.845
2.845 2.845 0.000
Zn Ni
2 1
Direct
0.250 0.250 0.250
0.750 0.750 0.750
0.000 0.000 0.000